Computed, not measured: TbInCo2 after structural relaxation at the PBE level of DFT.

Summary:
SG ... No. 225
Energy relative to the elements ... -36.7 kJ/mol of formula units

a = 4.554 Å, b = 4.554 Å, c = 4.554 Å
α = 60.00°, β = 60.00°, γ = 60.00°
Element x y z (fractional)
Tb: 0.000 0.000 0.000
In: 0.500 0.500 0.500
Co: 0.250 0.250 0.250
Co: 0.750 0.750 0.750

Computed, not measured: SrCeGaN3 after structural relaxation at the PBE level of DFT.

Summary:
Energy relative to the elements, uncorrected ... -0.84 eV/atom
SG ... No. 11

a = 7.552 Å, b = 3.534 Å, c = 7.760 Å
α = 90.00°, β = 97.10°, γ = 90.00°
Element x y z (fractional)
Sr: 0.167 0.250 0.190
Sr: 0.833 0.750 0.810
Ce: 0.364 0.750 0.837
Ce: 0.636 0.250 0.163
Ga: 0.102 0.250 0.600
Ga: 0.898 0.750 0.400
N: 0.148 0.250 0.850
N: 0.161 0.750 0.494
N: 0.429 0.750 0.128
N: 0.571 0.250 0.872
N: 0.839 0.250 0.506
N: 0.852 0.750 0.150

| no. | ρ (g/cm3) | raw total energy (eV per atom) |
| --- | --- | --- |
| 1 | 9.7 | -5.490 |
| 2 | 5.5 | -6.777 |